Entry 1:
Density functional theory data (PBE-GGA) for a relaxed structure of HgBAs2Pb.

Properties
As for the formation energy: 0.6650 eV per atom. The size of the total moment comes out at 0.000 μB/atom. The energy is -3.332 eV/atom.

Cell: 4.9183 4.9183 4.8126 Å, 90.00 90.00 90.00°
Last column: nearest neighbours and their distance in Å.
Space group P4/mmm (No. 123)
Symmetry-distinct sites (fractional):
Hg: 0.0000 0.0000 0.0000 [1 per cell]  2 B 2.41
B: 0.0000 0.0000 0.5000 [1 per cell]  2 Hg 2.41, 4 As 2.46
As: 0.0000 0.5000 0.5000 [2 per cell]  2 B 2.46
Pb: 0.5000 0.5000 0.0000 [1 per cell]  8 As 3.44, 4 Hg 3.48

Entry 2:
Density functional theory data (PBE-GGA) for a relaxed structure of YEr3Sc2Se6.

Properties
The uncorrected formation energy comes out at -1667 meV/atom. The size of the total moment comes out at 0.000 μB/atom. The energy is -6.144 eV/atom.

Cell: 6.8982 12.0012 6.9268 Å, 90.00 109.44 90.00°
Last column: nearest neighbours and their distance in Å.
Space group C2/m (No. 12)
Symmetry-distinct sites (fractional):
Y: 0.0000 0.0000 0.0000 [2 per cell]  6 Se 2.84-2.87
Er: 0.0000 0.1603 0.5000 [4 per cell]  6 Se 2.84-2.87
Er: 0.0000 0.5000 0.5000 [2 per cell]  6 Se 2.80-2.88
Sc: 0.0000 0.3350 0.0000 [4 per cell]  6 Se 2.75-2.79
Se: 0.2367 0.5000 0.2404 [4 per cell]  2 Sc 2.75, 3 Er 2.80-2.84, 1 Y 2.84
Se: 0.2466 0.3279 0.7545 [8 per cell]  2 Sc 2.78-2.79, 3 Er 2.84-2.88, 1 Y 2.87